[1]
! CuRh2S4, relaxed, DFT PBEsol; values from VASP
&SYSTEM
  ibrav = 0, nat = 14, ntyp = 3
/
ATOMIC_SPECIES
Cu 63.55 Cu.upf
Rh 102.91 Rh.upf
S 32.06 S.upf
ATOMIC_POSITIONS crystal
Cu 0.250 0.250 0.250
Cu 0.000 0.000 0.000
Rh 0.625 0.125 0.625
Rh 0.625 0.625 0.125
Rh 0.625 0.625 0.625
Rh 0.125 0.625 0.625
S 0.384 0.384 0.848
S 0.866 0.402 0.866
S 0.402 0.866 0.866
S 0.866 0.866 0.866
S 0.848 0.384 0.384
S 0.384 0.384 0.384
S 0.866 0.866 0.402
S 0.384 0.848 0.384
CELL_PARAMETERS angstrom
-4.312 -4.084 -3.453
2.472 -5.043 -3.956
-0.786 -6.555 1.900
! - formation energy without anion corrections (eV per atom) = -0.512


[2]
! CuSb2Rh, relaxed, DFT PBEsol; values from VASP
&SYSTEM
  ibrav = 0, nat = 4, ntyp = 3
/
ATOMIC_SPECIES
Cu 63.55 Cu.upf
Rh 102.91 Rh.upf
Sb 121.76 Sb.upf
ATOMIC_POSITIONS crystal
Cu 0.500 0.500 0.000
Rh 0.500 0.500 0.500
Sb 0.055 0.000 0.737
Sb 0.945 0.000 0.263
CELL_PARAMETERS angstrom
3.184 0.000 0.001
0.000 3.199 0.000
-0.800 0.000 7.130
! - formation energy without anion corrections (eV per atom) = 0.009


[3]
! CuSb2Rh, relaxed, DFT PBEsol; values from VASP
&SYSTEM
  ibrav = 0, nat = 4, ntyp = 3
/
ATOMIC_SPECIES
Cu 63.55 Cu.upf
Rh 102.91 Rh.upf
Sb 121.76 Sb.upf
ATOMIC_POSITIONS crystal
Cu 0.500 0.500 0.500
Rh 0.000 0.000 0.000
Sb 0.250 0.250 0.250
Sb 0.750 0.750 0.750
CELL_PARAMETERS angstrom
-1.500 3.946 1.957
-2.961 -0.160 3.586
1.444 1.178 4.264
! - formation energy without anion corrections (eV per atom) = 0.005


[4]
! Cu2SbRh, relaxed, DFT PBEsol; values from VASP
&SYSTEM
  ibrav = 0, nat = 4, ntyp = 3
/
ATOMIC_SPECIES
Cu 63.55 Cu.upf
Rh 102.91 Rh.upf
Sb 121.76 Sb.upf
ATOMIC_POSITIONS crystal
Cu 0.000 0.000 0.000
Cu 0.750 0.750 0.750
Rh 0.500 0.500 0.500
Sb 0.250 0.250 0.250
CELL_PARAMETERS angstrom
4.326 0.000 0.000
2.163 3.746 0.000
2.163 1.249 3.532
! - formation energy without anion corrections (eV per atom) = -0.043


[5]
! CuSbRh, relaxed, DFT PBEsol; values from VASP
&SYSTEM
  ibrav = 0, nat = 3, ntyp = 3
/
ATOMIC_SPECIES
Cu 63.55 Cu.upf
Rh 102.91 Rh.upf
Sb 121.76 Sb.upf
ATOMIC_POSITIONS crystal
Cu 0.004 0.004 0.008
Rh 0.667 0.667 0.333
Sb 0.329 0.329 0.658
CELL_PARAMETERS angstrom
-2.915 -1.558 0.715
1.709 -2.755 0.964
0.768 3.574 2.919
! - formation energy without anion corrections (eV per atom) = -0.170


[6]
! Ta2CuSbRh, relaxed, DFT PBEsol; values from VASP
&SYSTEM
  ibrav = 0, nat = 5, ntyp = 4
/
ATOMIC_SPECIES
Sb 121.76 Sb.upf
Rh 102.91 Rh.upf
Cu 63.55 Cu.upf
Ta 180.95 Ta.upf
ATOMIC_POSITIONS crystal
Sb 0.500 0.000 0.000
Rh 0.500 0.500 0.500
Cu 0.000 0.000 0.000
Ta 0.000 0.000 0.500
Ta 0.000 0.500 0.000
CELL_PARAMETERS angstrom
-0.277 -4.205 -1.585
1.752 -1.601 3.941
-4.244 -0.375 1.735
! - formation energy without anion corrections (eV per atom) = 1.248


[7]
! Sc2CuRh, relaxed, DFT PBEsol; values from VASP
&SYSTEM
  ibrav = 0, nat = 4, ntyp = 3
/
ATOMIC_SPECIES
Cu 63.55 Cu.upf
Rh 102.91 Rh.upf
Sc 44.96 Sc.upf
ATOMIC_POSITIONS crystal
Cu 0.500 0.500 0.000
Rh 0.250 0.750 0.500
Sc 0.000 0.000 0.000
Sc 0.750 0.250 0.500
CELL_PARAMETERS angstrom
3.844 0.000 0.000
0.000 3.844 0.000
-1.922 -1.922 4.421
! - uncorrected energy (eV/atom) = -6.84


[8]
! ScCu2Rh, relaxed, DFT PBEsol; values from VASP
&SYSTEM
  ibrav = 0, nat = 4, ntyp = 3
/
ATOMIC_SPECIES
Sc 44.96 Sc.upf
Rh 102.91 Rh.upf
Cu 63.55 Cu.upf
ATOMIC_POSITIONS crystal
Sc 0.000 0.000 0.000
Rh 0.500 0.500 0.000
Cu 0.250 0.750 0.500
Cu 0.750 0.250 0.500
CELL_PARAMETERS angstrom
3.664 0.000 0.000
0.000 3.664 0.000
-1.832 -1.832 4.072
! - uncorrected energy (eV/atom) = -6.30


[9]
! Sc3CuRh, relaxed, DFT PBEsol; values from VASP
&SYSTEM
  ibrav = 0, nat = 5, ntyp = 3
/
ATOMIC_SPECIES
Sc 44.96 Sc.upf
Rh 102.91 Rh.upf
Cu 63.55 Cu.upf
ATOMIC_POSITIONS crystal
Sc 0.000 0.500 0.000
Sc 0.000 0.000 0.500
Sc 0.500 0.000 0.000
Rh 0.000 0.000 0.000
Cu 0.500 0.500 0.500
CELL_PARAMETERS angstrom
-4.381 0.617 2.098
0.033 -4.678 1.445
2.187 1.306 4.181
! - excess energy over the best structure of this formula in the dataset (meV per atom) = 0


[10]
! ScCu2Rh, relaxed, DFT PBEsol; values from VASP
&SYSTEM
  ibrav = 0, nat = 4, ntyp = 3
/
ATOMIC_SPECIES
Cu 63.55 Cu.upf
Rh 102.91 Rh.upf
Sc 44.96 Sc.upf
ATOMIC_POSITIONS crystal
Cu 0.250 0.750 0.500
Cu 0.000 0.000 0.000
Rh 0.750 0.250 0.500
Sc 0.500 0.500 0.000
CELL_PARAMETERS angstrom
3.848 0.000 0.000
0.000 3.848 0.000
-1.924 -1.924 3.743
! - uncorrected energy (eV/atom) = -6.24


[11]
! Sc2CuRh, relaxed, DFT PBEsol; values from VASP
&SYSTEM
  ibrav = 0, nat = 4, ntyp = 3
/
ATOMIC_SPECIES
Sc 44.96 Sc.upf
Rh 102.91 Rh.upf
Cu 63.55 Cu.upf
ATOMIC_POSITIONS crystal
Sc 0.750 0.750 0.750
Sc 0.250 0.250 0.250
Rh 0.000 0.000 0.000
Cu 0.500 0.500 0.500
CELL_PARAMETERS angstrom
4.527 0.000 0.000
2.264 3.921 0.000
2.264 1.307 3.697
! - uncorrected energy (eV/atom) = -7.04


[12]
! Sc2CuRh, relaxed, DFT PBEsol; values from VASP
&SYSTEM
  ibrav = 0, nat = 4, ntyp = 3
/
ATOMIC_SPECIES
Sc 44.96 Sc.upf
Rh 102.91 Rh.upf
Cu 63.55 Cu.upf
ATOMIC_POSITIONS crystal
Sc 0.000 0.000 0.125
Sc 0.000 0.500 0.625
Rh 0.500 0.500 0.125
Cu 0.500 0.000 0.625
CELL_PARAMETERS angstrom
-2.516 -0.534 1.826
2.107 -3.586 1.855
1.762 2.700 3.218
! - uncorrected energy (eV/atom) = -7.03


Which formula does entry 10 have? ScCu2Rh


What did the fifth record say?
! CuSbRh, relaxed, DFT PBEsol; values from VASP
&SYSTEM
  ibrav = 0, nat = 3, ntyp = 3
/
ATOMIC_SPECIES
Cu 63.55 Cu.upf
Rh 102.91 Rh.upf
Sb 121.76 Sb.upf
ATOMIC_POSITIONS crystal
Cu 0.004 0.004 0.008
Rh 0.667 0.667 0.333
Sb 0.329 0.329 0.658
CELL_PARAMETERS angstrom
-2.915 -1.558 0.715
1.709 -2.755 0.964
0.768 3.574 2.919
! - formation energy without anion corrections (eV per atom) = -0.170